(1)
LiVHg (PBE, relaxed); symmetry = P1 (1); formation enthalpy at 0 K = 0.52 eV per formula unit; E above lowest polymorph = 0.141 eV per atom
1.0
4.1410 0.0000 0.0000
1.6174 4.5872 0.0000
0.2704 1.7625 5.4855
Li V Hg
2 2 2
direct
0.0000 0.0000 0.0000
0.3269 0.3167 0.1554
0.3793 0.3697 0.6124
0.6390 0.6064 0.4089
0.0036 0.9982 0.4860
0.6516 0.6668 0.8895

(2)
MoAuSe2 (PBE, relaxed); symmetry = C2/m (12); E above lowest polymorph = 0.583 eV per atom
1.0
6.5140 0.0000 0.0000
0.0000 8.5646 0.0000
-0.0208 0.0000 2.7444
Mo Au Se
2 2 4
direct
0.0000 0.0000 0.0000
0.5000 0.5000 0.0000
0.0000 0.5000 0.0000
0.5000 0.0000 0.0000
0.2500 0.2500 0.0000
0.2500 0.7500 0.0000
0.7500 0.2500 0.0000
0.7500 0.7500 0.0000

(3)
Ce2NpNi (PBE, relaxed); symmetry = R-3m (166); formation enthalpy at 0 K = 2.58 eV per formula unit
1.0
3.5957 0.0000 0.0000
-1.7978 3.1140 0.0000
0.0000 0.0000 24.2339
Ce Np Ni
6 3 3
direct
0.0000 0.0000 0.1018
0.0000 0.0000 0.8982
0.3333 0.6667 0.5649
0.3333 0.6667 0.7685
0.6667 0.3333 0.2315
0.6667 0.3333 0.4351
0.0000 0.0000 0.5000
0.3333 0.6667 0.1667
0.6667 0.3333 0.8333
0.0000 0.0000 0.0000
0.3333 0.6667 0.6667
0.6667 0.3333 0.3333

(4)
La3Te (PBE, relaxed); symmetry = R-3m (166); E above lowest polymorph = 0.270 eV per atom
1.0
10.8621 0.0000 0.0000
-5.4310 9.4068 0.0000
0.0000 0.0000 3.8856
La Te
9 3
direct
0.0000 0.5000 0.0000
0.1667 0.3333 0.3333
0.1667 0.8333 0.3333
0.3333 0.1667 0.6667
0.5000 0.0000 0.0000
0.5000 0.5000 0.0000
0.6667 0.8333 0.3333
0.8333 0.1667 0.6667
0.8333 0.6667 0.6667
0.0000 0.0000 0.0000
0.3333 0.6667 0.6667
0.6667 0.3333 0.3333

Number 1: mass density 8.2 g/cm³. Number 2: mass density 9.8 g/cm³. Number 3: mass density 10.6 g/cm³. Number 4: mass density 6.8 g/cm³.